(1)
This record from the Alexandria database describes an optimized crystal structure of BaMnTlCl6. The functional is PBE.

Cell and atoms, written as CIF:
```
data_BaMnTlCl6
_chemical_formula_sum 'Ba2 Mn2 Tl2 Cl12'
_cell_length_a 7.371
_cell_length_b 7.371
_cell_length_c 12.412
_cell_angle_alpha 90.00
_cell_angle_beta 90.00
_cell_angle_gamma 120.00
_space_group_name_H-M_alt 'P 1'
_space_group_IT_number 1
loop_
_space_group_symop_operation_xyz
'x,y,z'
loop_
_atom_site_label
_atom_site_fract_x
_atom_site_fract_y
_atom_site_fract_z
Ba1 0.333 0.667 0.250
Ba2 0.667 0.333 0.750
Cl1 0.331 0.400 0.864
Cl2 0.669 0.069 0.364
Cl3 0.069 0.669 0.864
Cl4 0.931 0.331 0.136
Cl5 0.600 0.669 0.636
Cl6 0.400 0.331 0.364
Cl7 0.400 0.069 0.136
Cl8 0.600 0.931 0.864
Cl9 0.931 0.600 0.364
Cl10 0.669 0.600 0.136
Cl11 0.069 0.400 0.636
Cl12 0.331 0.931 0.636
Mn1 0.333 0.667 0.750
Mn2 0.667 0.333 0.250
Tl1 0.000 0.000 0.500
Tl2 0.000 0.000 0.000
```

Computed properties:
Spin magnetization = 0.44 μB/atom
Formation energy from raw total energies = -1.46 eV/atom



(2)
This record from the Alexandria database describes an optimized crystal structure of PmNd2PaSe4. The functional is PBE.

Cell and atoms, written as CIF:
```
data_PmNd2PaSe4
_chemical_formula_sum 'Pm1 Nd2 Pa1 Se4'
_cell_length_a 4.155
_cell_length_b 7.251
_cell_length_c 7.254
_cell_angle_alpha 109.09
_cell_angle_beta 90.00
_cell_angle_gamma 90.00
_space_group_name_H-M_alt 'P 1'
_space_group_IT_number 1
loop_
_space_group_symop_operation_xyz
'x,y,z'
loop_
_atom_site_label
_atom_site_fract_x
_atom_site_fract_y
_atom_site_fract_z
Nd1 0.500 0.000 0.500
Nd2 0.000 0.500 0.500
Pm1 0.000 0.000 0.000
Se1 0.500 0.252 0.244
Se2 0.500 0.748 0.756
Se3 0.000 0.256 0.758
Se4 0.000 0.744 0.242
Pa1 0.500 0.500 0.000
```

Computed properties:
Spin magnetization = 0.10 μB/atom
Formation energy from raw total energies = -1.66 eV/atom



(3)
This record from the Alexandria database describes an optimized crystal structure of Li2TbPd8. The functional is PBE.

Cell and atoms, written as CIF:
```
data_Li2TbPd8
_chemical_formula_sum 'Li2 Tb1 Pd8'
_cell_length_a 4.041
_cell_length_b 6.364
_cell_length_c 7.385
_cell_angle_alpha 106.54
_cell_angle_beta 105.88
_cell_angle_gamma 90.00
_space_group_name_H-M_alt 'P 1'
_space_group_IT_number 1
loop_
_space_group_symop_operation_xyz
'x,y,z'
loop_
_atom_site_label
_atom_site_fract_x
_atom_site_fract_y
_atom_site_fract_z
Pd1 0.144 0.204 0.289
Pd2 0.952 0.277 0.904
Pd3 0.596 0.470 0.192
Pd4 0.685 0.918 0.370
Pd5 0.404 0.530 0.808
Pd6 0.856 0.796 0.711
Pd7 0.315 0.082 0.630
Pd8 0.048 0.723 0.096
Tb1 0.500 0.000 0.000
Li1 0.228 0.648 0.455
Li2 0.772 0.352 0.545
```

Computed properties:
Electronic total energy = -5.00 eV per atom
Spin magnetization = 0.00 μB/atom



(4)
This record from the Alexandria database describes an optimized crystal structure of TbNdMgPb. The functional is PBE.

Cell and atoms, written as CIF:
```
data_TbNdMgPb
_chemical_formula_sum 'Tb1 Nd1 Mg1 Pb1'
_cell_length_a 5.441
_cell_length_b 5.441
_cell_length_c 5.441
_cell_angle_alpha 60.00
_cell_angle_beta 60.00
_cell_angle_gamma 60.00
_space_group_name_H-M_alt 'P 1'
_space_group_IT_number 1
loop_
_space_group_symop_operation_xyz
'x,y,z'
loop_
_atom_site_label
_atom_site_fract_x
_atom_site_fract_y
_atom_site_fract_z
Nd1 0.750 0.750 0.750
Mg1 0.000 0.000 0.000
Pb1 0.500 0.500 0.500
Tb1 0.250 0.250 0.250
```

Computed properties:
Electronic total energy = -3.98 eV per atom
Spin magnetization = 0.00 μB/atom



(5)
This record from the Alexandria database describes an optimized crystal structure of MnGaCoRuS. The functional is PBE.

Cell and atoms, written as CIF:
```
data_MnGaCoRuS
_chemical_formula_sum 'Mn2 Ga2 Co2 Ru2 S2'
_cell_length_a 6.868
_cell_length_b 2.875
_cell_length_c 8.191
_cell_angle_alpha 90.00
_cell_angle_beta 125.39
_cell_angle_gamma 90.00
_space_group_name_H-M_alt 'P 1'
_space_group_IT_number 1
loop_
_space_group_symop_operation_xyz
'x,y,z'
loop_
_atom_site_label
_atom_site_fract_x
_atom_site_fract_y
_atom_site_fract_z
Co1 0.484 0.500 0.610
Co2 0.484 0.000 0.110
S1 0.186 0.500 0.913
S2 0.186 0.000 0.413
Ru1 0.881 0.500 0.360
Ru2 0.881 0.000 0.860
Ga1 0.669 0.000 0.478
Ga2 0.669 0.500 0.978
Mn1 0.211 0.000 0.708
Mn2 0.211 0.500 0.208
```

Computed properties:
Energy above the most stable polymorph in this dataset = 0.126 eV/atom
Spin magnetization = 0.64 μB/atom
Formation energy from raw total energies = -0.11 eV/atom



(6)
This record from the Alexandria database describes an optimized crystal structure of Pr5Ho3Er4. The functional is PBE.

Cell and atoms, written as CIF:
```
data_Pr5Ho3Er4
_chemical_formula_sum 'Pr5 Ho3 Er4'
_cell_length_a 5.545
_cell_length_b 6.393
_cell_length_c 19.056
_cell_angle_alpha 126.90
_cell_angle_beta 81.63
_cell_angle_gamma 64.30
_space_group_name_H-M_alt 'P 1'
_space_group_IT_number 1
loop_
_space_group_symop_operation_xyz
'x,y,z'
loop_
_atom_site_label
_atom_site_fract_x
_atom_site_fract_y
_atom_site_fract_z
Ho1 0.381 0.008 0.231
Ho2 0.619 0.992 0.769
Ho3 0.000 0.500 0.500
Pr1 0.712 0.611 0.965
Pr2 0.545 0.299 0.611
Pr3 0.455 0.701 0.389
Pr4 0.500 0.500 0.500
Pr5 0.288 0.389 0.035
Er1 0.998 0.279 0.725
Er2 0.158 0.809 0.875
Er3 0.842 0.191 0.125
Er4 0.002 0.721 0.275
```

Computed properties:
Electronic total energy = -4.43 eV per atom
Spin magnetization = 0.02 μB/atom



(7)
This record from the Alexandria database describes an optimized crystal structure of BaCrSb2. The functional is PBE.

Cell and atoms, written as CIF:
```
data_BaCrSb2
_chemical_formula_sum 'Ba1 Cr1 Sb2'
_cell_length_a 7.829
_cell_length_b 7.829
_cell_length_c 7.829
_cell_angle_alpha 32.12
_cell_angle_beta 32.12
_cell_angle_gamma 32.12
_space_group_name_H-M_alt 'P 1'
_space_group_IT_number 1
loop_
_space_group_symop_operation_xyz
'x,y,z'
loop_
_atom_site_label
_atom_site_fract_x
_atom_site_fract_y
_atom_site_fract_z
Ba1 0.497 0.497 0.497
Sb1 0.278 0.278 0.278
Sb2 0.056 0.056 0.056
Cr1 0.669 0.669 0.669
```

Computed properties:
Spin magnetization = 0.71 μB/atom
Formation energy from raw total energies = -0.33 eV/atom



(8)
This record from the Alexandria database describes an optimized crystal structure of PmHoGeIr. The functional is PBE.

Cell and atoms, written as CIF:
```
data_PmHoGeIr
_chemical_formula_sum 'Pm1 Ho1 Ge1 Ir1'
_cell_length_a 5.017
_cell_length_b 5.017
_cell_length_c 5.017
_cell_angle_alpha 60.00
_cell_angle_beta 60.00
_cell_angle_gamma 60.00
_space_group_name_H-M_alt 'P 1'
_space_group_IT_number 1
loop_
_space_group_symop_operation_xyz
'x,y,z'
loop_
_atom_site_label
_atom_site_fract_x
_atom_site_fract_y
_atom_site_fract_z
Ir1 0.750 0.750 0.750
Ho1 0.000 0.000 0.000
Ge1 0.250 0.250 0.250
Pm1 0.500 0.500 0.500
```

Computed properties:
Energy above the most stable polymorph in this dataset = 0.188 eV/atom
Spin magnetization = 0.00 μB/atom



(9)
This record from the Alexandria database describes an optimized crystal structure of ScSbPt6. The functional is PBE.

Cell and atoms, written as CIF:
```
data_ScSbPt6
_chemical_formula_sum 'Sc1 Sb1 Pt6'
_cell_length_a 4.033
_cell_length_b 4.033
_cell_length_c 8.143
_cell_angle_alpha 90.00
_cell_angle_beta 90.00
_cell_angle_gamma 90.00
_space_group_name_H-M_alt 'P 1'
_space_group_IT_number 1
loop_
_space_group_symop_operation_xyz
'x,y,z'
loop_
_atom_site_label
_atom_site_fract_x
_atom_site_fract_y
_atom_site_fract_z
Pt1 0.000 0.500 0.756
Pt2 0.500 0.000 0.244
Pt3 0.500 0.000 0.756
Pt4 0.500 0.500 0.500
Pt5 0.000 0.500 0.244
Pt6 0.500 0.500 0.000
Sc1 0.000 0.000 0.000
Sb1 0.000 0.000 0.500
```

Computed properties:
Spin magnetization = 0.00 μB/atom
Formation energy from raw total energies = -0.64 eV/atom



(10)
This record from the Alexandria database describes an optimized crystal structure of ErTh2Hg3. The functional is PBE.

Cell and atoms, written as CIF:
```
data_ErTh2Hg3
_chemical_formula_sum 'Er1 Th2 Hg3'
_cell_length_a 3.488
_cell_length_b 3.488
_cell_length_c 13.112
_cell_angle_alpha 90.00
_cell_angle_beta 90.00
_cell_angle_gamma 90.00
_space_group_name_H-M_alt 'P 1'
_space_group_IT_number 1
loop_
_space_group_symop_operation_xyz
'x,y,z'
loop_
_atom_site_label
_atom_site_fract_x
_atom_site_fract_y
_atom_site_fract_z
Hg1 0.000 0.000 0.652
Hg2 0.000 0.000 0.348
Hg3 0.000 0.000 0.000
Er1 0.500 0.500 0.500
Th1 0.500 0.500 0.827
Th2 0.500 0.500 0.173
```

Computed properties:
Electronic total energy = -3.69 eV per atom
Spin magnetization = 0.00 μB/atom



(11)
This record from the Alexandria database describes an optimized crystal structure of Cs3Pt. The functional is PBE.

Cell and atoms, written as CIF:
```
data_Cs3Pt
_chemical_formula_sum 'Cs3 Pt1'
_cell_length_a 5.682
_cell_length_b 5.682
_cell_length_c 5.682
_cell_angle_alpha 90.00
_cell_angle_beta 90.00
_cell_angle_gamma 90.00
_space_group_name_H-M_alt 'P 1'
_space_group_IT_number 1
loop_
_space_group_symop_operation_xyz
'x,y,z'
loop_
_atom_site_label
_atom_site_fract_x
_atom_site_fract_y
_atom_site_fract_z
Cs1 0.500 0.000 0.000
Cs2 0.000 0.500 0.000
Cs3 0.000 0.000 0.500
Pt1 0.500 0.500 0.500
```

Computed properties:
Energy above the most stable polymorph in this dataset = 0.082 eV/atom
Spin magnetization = 0.00 μB/atom



(12)
This record from the Alexandria database describes an optimized crystal structure of Hg2Br2Cl. The functional is PBE.

Cell and atoms, written as CIF:
```
data_Hg2Br2Cl
_chemical_formula_sum 'Hg8 Br8 Cl4'
_cell_length_a 5.618
_cell_length_b 8.325
_cell_length_c 13.652
_cell_angle_alpha 90.00
_cell_angle_beta 90.00
_cell_angle_gamma 90.00
_space_group_name_H-M_alt 'P 1'
_space_group_IT_number 1
loop_
_space_group_symop_operation_xyz
'x,y,z'
loop_
_atom_site_label
_atom_site_fract_x
_atom_site_fract_y
_atom_site_fract_z
Br1 0.750 0.068 0.254
Br2 0.250 0.326 0.426
Br3 0.750 0.674 0.574
Br4 0.250 0.432 0.754
Br5 0.750 0.174 0.926
Br6 0.750 0.568 0.246
Br7 0.250 0.932 0.746
Br8 0.250 0.826 0.074
Hg1 0.250 0.572 0.258
Hg2 0.250 0.072 0.242
Hg3 0.750 0.313 0.429
Hg4 0.250 0.687 0.571
Hg5 0.750 0.813 0.071
Hg6 0.750 0.428 0.742
Hg7 0.750 0.928 0.758
Hg8 0.250 0.187 0.929
Cl1 0.250 0.331 0.131
Cl2 0.750 0.169 0.631
Cl3 0.750 0.669 0.869
Cl4 0.250 0.831 0.369
```

Computed properties:
Energy above the most stable polymorph in this dataset = 0.000 eV/atom
Spin magnetization = 0.00 μB/atom
Formation energy from raw total energies = -0.34 eV/atom